# 1
A relaxed structure of YTcAs2. Source: Alexandria via LeMat-Bulk, functional PBEsol.

Distance to the lowest polymorph of the same formula, meV per atom: 34

a b c (Å): 3.2361 3.6124 6.8635
angles (deg): 105.26 103.64 90.00
Closest atoms and distances in Å follow each position.
Sites, in units of the cell vectors:
As (0.9676, 0.9676, 0.9353)  4 Tc 2.62, 2 Y 2.82
As (0.1892, 0.6892, 0.3785)  2 Tc 2.47
Y (0.7991, 0.2991, 0.5982)  6 As 2.81-2.82
Tc (0.5440, 0.5440, 0.0880)  6 As 2.47-2.62

---

# 2
A relaxed structure of YTc2As. Source: Alexandria via LeMat-Bulk, functional PBEsol.

Distance to the lowest polymorph of the same formula, meV per atom: 236

a b c (Å): 2.9340 5.0161 5.3391
angles (deg): 117.64 105.35 91.22
Closest atoms and distances in Å follow each position.
Sites, in units of the cell vectors:
Tc (0.0000, 0.0000, 0.5000)  2 Y 2.68, 2 As 2.68, 6 Tc 2.88-2.93
Tc (0.5000, 0.5000, 0.5000)  2 Y 2.68, 2 As 2.68, 6 Tc 2.88-2.93
Y (0.5000, 0.0000, 0.0000)  4 Tc 2.68, 4 As 2.88-2.93, 2 Y 2.93
As (0.0000, 0.5000, 0.0000)  4 Tc 2.68, 4 Y 2.88-2.93, 2 As 2.93

---

# 3
A relaxed structure of Y3TcAs. Source: Alexandria via LeMat-Bulk, functional PBEsol.

a b c (Å): 5.2382 5.2382 5.2382
angles (deg): 90.00 90.00 90.00
Closest atoms and distances in Å follow each position.
Sites, in units of the cell vectors:
As (0.0000, 0.0000, 0.0000)  6 Y 2.62
Y (0.0000, 0.5000, 0.0000)  2 As 2.62
Y (0.5000, 0.0000, 0.0000)  2 As 2.62
Y (0.0000, 0.0000, 0.5000)  2 As 2.62
Tc (0.5000, 0.5000, 0.5000)  12 Y 3.70

---

# 4
A relaxed structure of YTcAs2. Source: Alexandria via LeMat-Bulk, functional PBEsol.

Distance to the lowest polymorph of the same formula, meV per atom: 0

a b c (Å): 3.9509 3.9509 6.0320
angles (deg): 70.88 70.88 60.00
Closest atoms and distances in Å follow each position.
Sites, in units of the cell vectors:
As (0.2328, 0.2328, 0.3016)  3 Tc 2.54, 3 Y 2.84
As (0.7672, 0.7672, 0.6984)  3 Tc 2.54, 3 Y 2.84
Tc (0.5000, 0.5000, 0.5000)  6 As 2.54
Y (0.0000, 0.0000, 0.0000)  6 As 2.84

---

# 5
A relaxed structure of YTc2As. Source: Alexandria via LeMat-Bulk, functional PBEsol.

Distance to the lowest polymorph of the same formula, meV per atom: 156

a b c (Å): 3.7808 3.7808 5.4882
angles (deg): 110.15 110.15 90.00
Closest atoms and distances in Å follow each position.
Sites, in units of the cell vectors:
As (0.0000, 0.0000, 0.0000)  4 Y 2.67
Tc (0.2500, 0.7500, 0.5000)  4 Tc 2.67
Tc (0.7500, 0.2500, 0.5000)  4 Tc 2.67
Y (0.5000, 0.5000, 0.0000)  4 As 2.67

---

# 6
A relaxed structure of YTc2As. Source: Alexandria via LeMat-Bulk, functional PBEsol.

Distance to the lowest polymorph of the same formula, meV per atom: 373

a b c (Å): 3.0055 3.0055 8.1957
angles (deg): 90.00 90.00 112.61
Closest atoms and distances in Å follow each position.
Sites, in units of the cell vectors:
As (0.5000, 0.5000, 0.0000)  4 Tc 2.44
Y (0.5000, 0.5000, 0.5000)  4 Tc 2.86, 4 Y 3.01
Tc (0.0000, 0.0000, 0.7833)  2 As 2.44
Tc (0.0000, 0.0000, 0.2167)  2 As 2.44

---

# 7
A relaxed structure of YTc2As. Source: Alexandria via LeMat-Bulk, functional PBEsol.

Distance to the lowest polymorph of the same formula, meV per atom: 0

a b c (Å): 3.2841 4.8090 4.8665
angles (deg): 104.90 90.00 109.97
Closest atoms and distances in Å follow each position.
Sites, in units of the cell vectors:
Y (0.5000, 0.0000, 0.0000)  6 Tc 2.90-3.01, 4 As 2.94
As (0.0000, 0.0000, 0.5000)  6 Tc 2.59-2.83
Tc (0.2722, 0.5445, 0.3205)  2 Tc 2.51, 2 As 2.59
Tc (0.7278, 0.4555, 0.6795)  2 Tc 2.51, 2 As 2.59

---

# 8
A relaxed structure of ZnTc2As. Source: Alexandria via LeMat-Bulk, functional PBEsol.

Distance to the lowest polymorph of the same formula, meV per atom: 146

a b c (Å): 3.7752 3.7752 4.7429
angles (deg): 113.45 113.45 90.00
Closest atoms and distances in Å follow each position.
Sites, in units of the cell vectors:
Tc (0.7500, 0.2500, 0.5000)  4 As 2.67, 4 Tc 2.72, 4 Zn 2.72
Tc (0.0000, 0.0000, 0.0000)  4 Zn 2.67, 4 As 2.72, 4 Tc 2.72
Zn (0.5000, 0.5000, 0.0000)  8 Tc 2.67-2.72, 4 As 2.72
As (0.2500, 0.7500, 0.5000)  8 Tc 2.67-2.72, 4 Zn 2.72

---

no.,calculated total energy (eV per cell),total moment (μB/f.u.),calculated formation energy (eV per atom)
1,-30.7,0.000,-0.605
2,-33.9,0.000,0.152
3,-35.1,0.645,0.347
4,-30.9,0.002,-0.639
5,-34.2,0.000,0.072
6,-33.3,0.000,0.289
7,-34.8,0.000,-0.084
8,-28.3,0.000,0.221